DFT (PBE) results for a relaxed structure of Tb6Fe2Ag.

```
Tb6Fe2Ag
1.0
-4.722 4.835 4.940
4.722 -4.835 4.940
4.722 4.835 -4.940
Tb Fe Ag
12 4 2
Direct
0.006 0.219 0.788
0.186 0.292 0.478
0.186 0.708 0.894
0.314 0.019 0.705
0.314 0.609 0.295
0.431 0.219 0.212
0.569 0.781 0.788
0.686 0.391 0.705
0.686 0.981 0.295
0.814 0.292 0.106
0.814 0.708 0.522
0.994 0.781 0.212
0.109 0.609 0.500
0.387 0.000 0.387
0.613 0.000 0.613
0.891 0.391 0.500
0.000 0.000 0.000
0.500 0.500 0.000
```

* D(E_F): 1.059 states/eV per atom
* E: -5.3656 eV/atom
* formation energy from the elements: -81 meV/atom
* total moment: 0.8 μB per formula unit

DFT (PBE) results for a relaxed structure of Tb5Fe2Ag.

```
Tb5Fe2Ag
1.0
-3.715 3.715 7.078
3.715 -3.715 7.078
3.715 3.715 -7.078
Tb Fe Ag
10 4 2
Direct
0.000 0.000 0.000
0.036 0.536 0.845
0.191 0.036 0.500
0.309 0.809 0.845
0.464 0.309 0.500
0.500 0.500 0.000
0.536 0.691 0.500
0.691 0.191 0.155
0.809 0.964 0.500
0.964 0.464 0.155
0.108 0.392 0.500
0.392 0.892 0.284
0.608 0.108 0.716
0.892 0.608 0.500
0.250 0.250 0.000
0.750 0.750 0.000
```

* D(E_F): 1.110 states/eV per atom
* E: -5.4380 eV/atom
* formation energy from the elements: -72 meV/atom
* total moment: 1.3 μB per formula unit

DFT (PBE) results for a relaxed structure of TbFe4Ag.

```
TbFe4Ag
1.0
0.000 3.574 3.574
3.574 0.000 3.574
3.574 3.574 0.000
Tb Fe Ag
1 4 1
Direct
0.000 0.000 0.000
0.125 0.625 0.625
0.625 0.125 0.625
0.625 0.625 0.125
0.625 0.625 0.625
0.250 0.250 0.250
```

* D(E_F): 0.859 states/eV per atom
* E: -6.8379 eV/atom
* formation energy from the elements: 51 meV/atom
* total moment: 9.6 μB per formula unit

DFT (PBE) results for a relaxed structure of Tb3FeAg.

```
Tb3FeAg
1.0
8.383 0.000 0.000
0.000 3.719 0.000
-3.123 0.000 8.033
Tb Fe Ag
6 2 2
Direct
0.050 0.250 0.183
0.225 0.750 0.555
0.404 0.750 0.172
0.596 0.250 0.828
0.775 0.250 0.445
0.950 0.750 0.817
0.420 0.250 0.440
0.580 0.750 0.560
0.239 0.250 0.858
0.761 0.750 0.142
```

* D(E_F): 1.013 states/eV per atom
* E: -5.1521 eV/atom
* formation energy from the elements: -111 meV/atom
* total moment: 1.2 μB per formula unit

DFT (PBE) results for a relaxed structure of Tb8FeAg2.

```
Tb8FeAg2
1.0
8.621 -2.625 0.000
8.621 2.625 0.000
-2.047 0.000 6.510
Tb Fe Ag
8 1 2
Direct
0.026 0.026 0.293
0.200 0.200 0.802
0.345 0.345 0.534
0.411 0.411 0.073
0.589 0.589 0.927
0.655 0.655 0.466
0.800 0.800 0.198
0.974 0.974 0.707
0.500 0.500 0.500
0.185 0.185 0.215
0.815 0.815 0.785
```

* D(E_F): 1.044 states/eV per atom
* E: -4.7201 eV/atom
* formation energy from the elements: -65 meV/atom
* total moment: 0.0 μB per formula unit

DFT (PBE) results for a relaxed structure of TbTmFeAg.

```
TbTmFeAg
1.0
0.000 3.464 3.464
3.464 0.000 3.464
3.464 3.464 0.000
Tb Tm Fe Ag
1 1 1 1
Direct
0.000 0.000 0.000
0.500 0.500 0.500
0.750 0.750 0.750
0.250 0.250 0.250
```

* D(E_F): 0.722 states/eV per atom
* E: -5.1246 eV/atom
* formation energy from the elements: -21 meV/atom
* total moment: 0.0 μB per formula unit

DFT (PBE) results for a relaxed structure of TbYFeAg.

```
TbYFeAg
1.0
0.000 3.532 3.532
3.532 0.000 3.532
3.532 3.532 0.000
Tb Y Fe Ag
1 1 1 1
Direct
0.000 0.000 0.000
0.500 0.500 0.500
0.250 0.250 0.250
0.750 0.750 0.750
```

* D(E_F): 1.881 states/eV per atom
* E: -5.6115 eV/atom
* formation energy from the elements: -9 meV/atom
* total moment: 1.3 μB per formula unit

DFT (PBE) results for a relaxed structure of Fe2TcAg.

```
Fe2TcAg
1.0
2.784 0.000 0.000
0.000 4.466 0.000
0.000 0.000 4.634
Fe Tc Ag
2 1 1
Direct
0.000 0.000 0.000
0.500 0.000 0.500
0.000 0.500 0.500
0.500 0.500 0.000
```

* polymorph energy (0 for the lowest one): 0.2662 eV per atom
* D(E_F): 1.152 states/eV per atom
* E: -6.9723 eV/atom
* formation energy from the elements: 563 meV/atom
* total moment: 6.1 μB per formula unit

DFT (PBE) results for a relaxed structure of FeTcAg4.

```
FeTcAg4
1.0
0.000 3.759 3.759
3.759 0.000 3.759
3.759 3.759 0.000
Fe Tc Ag
1 1 4
Direct
0.000 0.000 0.000
0.750 0.750 0.750
0.375 0.375 0.375
0.375 0.375 0.875
0.375 0.875 0.375
0.875 0.375 0.375
```

* D(E_F): 1.382 states/eV per atom
* E: -4.2002 eV/atom
* formation energy from the elements: 839 meV/atom
* total moment: 4.9 μB per formula unit

DFT (PBE) results for a relaxed structure of FeTc2Ag2.

```
FeTc2Ag2
1.0
-1.724 1.724 7.306
1.724 -1.724 7.306
1.724 1.724 -7.306
Fe Tc Ag
1 2 2
Direct
0.000 0.000 0.000
0.250 0.750 0.500
0.750 0.250 0.500
0.407 0.407 0.000
0.593 0.593 0.000
```

* polymorph energy (0 for the lowest one): 0.0000 eV per atom
* D(E_F): 1.489 states/eV per atom
* E: -6.1723 eV/atom
* formation energy from the elements: 807 meV/atom
* total moment: 3.3 μB per formula unit

DFT (PBE) results for a relaxed structure of FeTc3Ag.

```
FeTc3Ag
1.0
4.416 0.000 0.000
0.000 4.416 0.000
0.000 0.000 4.416
Fe Tc Ag
1 3 1
Direct
0.000 0.000 0.000
0.000 0.000 0.500
0.000 0.500 0.000
0.500 0.000 0.000
0.500 0.500 0.500
```

* polymorph energy (0 for the lowest one): 0.0000 eV per atom
* D(E_F): 1.479 states/eV per atom
* E: -7.1804 eV/atom
* formation energy from the elements: 1302 meV/atom
* total moment: 0.9 μB per formula unit

DFT (PBE) results for a relaxed structure of Fe2TcAg.

```
Fe2TcAg
1.0
0.000 2.975 2.975
2.975 0.000 2.975
2.975 2.975 0.000
Fe Tc Ag
2 1 1
Direct
0.250 0.250 0.250
0.750 0.750 0.750
0.000 0.000 0.000
0.500 0.500 0.500
```

* polymorph energy (0 for the lowest one): 0.3292 eV per atom
* D(E_F): 0.834 states/eV per atom
* E: -6.9093 eV/atom
* formation energy from the elements: 626 meV/atom
* total moment: 0.0 μB per formula unit

DFT (PBE) results for a relaxed structure of Fe2TcAg.

```
Fe2TcAg
1.0
4.418 -1.294 0.000
4.418 1.294 0.000
-0.541 0.000 4.943
Fe Tc Ag
2 1 1
Direct
0.250 0.250 0.237
0.750 0.750 0.763
0.500 0.500 0.000
0.000 0.000 0.500
```

* polymorph energy (0 for the lowest one): 0.1411 eV per atom
* D(E_F): 1.161 states/eV per atom
* E: -7.0974 eV/atom
* formation energy from the elements: 438 meV/atom
* total moment: 5.3 μB per formula unit

DFT (PBE) results for a relaxed structure of Fe2TcAg.

```
Fe2TcAg
1.0
1.366 0.789 8.734
-1.366 0.789 8.734
0.000 -1.578 8.734
Fe Tc Ag
2 1 1
Direct
0.000 0.000 0.000
0.260 0.260 0.260
0.743 0.743 0.743
0.505 0.505 0.505
```

* polymorph energy (0 for the lowest one): 0.0308 eV per atom
* D(E_F): 1.259 states/eV per atom
* E: -7.2077 eV/atom
* formation energy from the elements: 328 meV/atom
* total moment: 4.4 μB per formula unit